No. 1
This record from the Alexandria database describes a relaxed HoPu2O7 crystal. The functional is PBE-GGA.

The structure in POSCAR format:
```
HoPu2O7
1.0
1.904 1.099 10.146
-1.904 1.099 10.146
0.000 -2.199 10.146
Ho Pu O
1 2 7
Cartesian
0.000 0.000 0.000 Ho
0.000 0.000 13.160 Pu
0.000 0.000 17.277 Pu
0.000 0.000 2.344 O
0.000 0.000 6.693 O
0.000 0.000 11.008 O
0.000 0.000 15.218 O
0.000 0.000 19.429 O
0.000 0.000 23.744 O
0.000 0.000 28.093 O
```

- Total magnetic moment: 5.00 μB per formula unit
- Space-group type: R-3m
- DFT total energy: -9.632 eV per atom

No. 2
This record from the Alexandria database describes a relaxed HoPu2O11 crystal. The functional is PBE-GGA.

The structure in POSCAR format:
```
HoPu2O11
1.0
-4.128 5.049 5.276
4.128 -5.049 5.276
4.128 5.049 -5.276
Ho Pu O
2 4 22
Cartesian
0.000 0.000 2.638 Ho
0.000 0.000 7.913 Ho
5.928 2.353 0.000 Pu
1.800 2.696 0.000 Pu
2.329 2.353 5.276 Pu
-1.800 2.696 5.276 Pu
4.128 0.000 0.000 O
1.649 -1.205 1.315 O
1.140 1.536 -1.324 O
3.775 1.611 0.000 O
5.268 3.513 -1.324 O
6.608 1.205 1.315 O
2.479 3.844 -1.315 O
1.140 1.536 1.324 O
3.775 -1.611 5.276 O
5.268 3.513 1.324 O
1.649 1.205 3.961 O
0.000 5.049 0.000 O
2.479 3.844 1.315 O
-1.140 1.536 3.952 O
0.353 6.661 0.000 O
2.989 3.513 3.952 O
1.649 1.205 6.591 O
-2.479 3.844 3.961 O
-1.140 1.536 6.599 O
0.353 3.438 5.276 O
2.989 3.513 6.599 O
2.479 6.255 3.961 O
```

- Total magnetic moment: 2.39 μB per formula unit
- Space-group type: Ibam
- DFT total energy: -8.081 eV per atom

No. 3
This record from the Alexandria database describes a relaxed Ho2PuO6 crystal. The functional is PBE-GGA.

The structure in POSCAR format:
```
Ho2PuO6
1.0
-1.918 2.662 5.517
1.918 -2.662 5.517
1.918 2.662 -5.517
Ho Pu O
2 1 6
Cartesian
0.000 0.000 1.831 Ho
0.000 0.000 9.203 Ho
0.000 0.000 5.517 Pu
1.918 1.369 -1.733 O
0.000 1.425 0.000 O
1.918 1.369 1.733 O
0.000 1.293 3.784 O
0.000 3.899 0.000 O
0.000 1.293 7.249 O
```

- Total magnetic moment: 2.00 μB per formula unit
- Space-group type: Immm
- DFT total energy: -9.053 eV per atom

No. 4
This record from the Alexandria database describes a relaxed HoPu4O10 crystal. The functional is PBE-GGA.

The structure in POSCAR format:
```
HoPu4O10
1.0
-1.895 1.895 13.396
1.895 -1.895 13.396
1.895 1.895 -13.396
Ho Pu O
1 4 10
Cartesian
0.000 0.000 0.000 Ho
0.000 0.000 5.344 Pu
0.000 0.000 10.765 Pu
0.000 0.000 16.027 Pu
0.000 0.000 21.449 Pu
1.895 0.000 1.387 O
1.895 0.000 4.016 O
1.895 0.000 6.698 O
1.895 0.000 9.381 O
1.895 0.000 12.009 O
0.000 1.895 1.387 O
0.000 1.895 4.016 O
0.000 1.895 6.698 O
0.000 1.895 9.381 O
0.000 1.895 12.009 O
```

- Total magnetic moment: 15.00 μB per formula unit
- Space-group type: I4/mmm
- DFT total energy: -10.591 eV per atom

No. 5
This record from the Alexandria database describes a relaxed HoPuO2 crystal. The functional is PBE-GGA.

The structure in POSCAR format:
```
HoPuO2
1.0
1.703 0.983 5.836
-1.703 0.983 5.836
0.000 -1.967 5.836
Ho Pu O
1 1 2
Cartesian
0.000 0.000 0.000 Ho
0.000 0.000 8.754 Pu
0.000 0.000 4.582 O
0.000 0.000 12.927 O
```

- Total magnetic moment: 5.84 μB per formula unit
- Space-group type: R-3m
- DFT total energy: -9.893 eV per atom

No. 6
This record from the Alexandria database describes a relaxed HoPu2O6 crystal. The functional is PBE-GGA.

The structure in POSCAR format:
```
HoPu2O6
1.0
3.817 0.000 0.000
-1.909 3.306 0.000
0.000 0.000 9.105
Ho Pu O
1 2 6
Cartesian
0.000 0.000 0.000 Ho
0.000 2.204 6.081 Pu
1.909 1.102 3.024 Pu
0.000 0.000 2.388 O
0.000 0.000 6.718 O
0.000 2.204 3.798 O
0.000 2.204 8.244 O
1.909 1.102 0.861 O
1.909 1.102 5.307 O
```

- Total magnetic moment: 7.00 μB per formula unit
- Space-group type: P-3m1
- DFT total energy: -10.170 eV per atom